No. 1
Here is an optimized crystal structure of TlCoS4 from Alexandria via LeMat-Bulk. Energies are from PBE.

Results
Space group: No. 2

a b c (Å): 6.807 7.246 7.851
angles (deg): 63.13 64.67 75.94
Positions (direct):
Tl  0.207  0.297  0.419
Tl  0.793  0.703  0.581
Co  0.251  0.008  0.996
Co  0.749  0.992  0.004
S  0.002  0.119  0.230
S  0.060  0.776  0.034
S  0.458  0.785  0.161
S  0.496  0.080  0.679
S  0.504  0.920  0.321
S  0.542  0.215  0.839
S  0.940  0.224  0.966
S  0.998  0.881  0.770

=====

No. 2
Here is an optimized crystal structure of Li2Mg3PaSe6 from Alexandria via LeMat-Bulk. Energies are from PBE.

Results
Space group: No. 12

a b c (Å): 6.853 6.853 6.867
angles (deg): 99.66 99.66 119.97
Positions (direct):
Li  0.167  0.833  0.000
Li  0.833  0.167  0.000
Mg  0.000  0.000  0.500
Mg  0.337  0.663  0.500
Mg  0.663  0.337  0.500
Pa  0.500  0.500  0.000
Se  0.077  0.414  0.739
Se  0.248  0.248  0.255
Se  0.414  0.077  0.739
Se  0.586  0.923  0.261
Se  0.752  0.752  0.745
Se  0.923  0.586  0.261

=====

In the order shown, the computed ΔE_f (raw) values come out to -0.221; -1.282 eV per atom.
In the order shown, the computed magnetic moment values come out to 0.0; 1.0 μB/f.u..